First-principles (GGA-PBEsol) data for a geometry-optimized Zr2Ni21B6 structure, as listed in the Alexandria database.

Cell: 10.4617 10.4617 10.4617 Å, 90.00 90.00 90.00°
Last column: nearest neighbours and their distance in Å.
Space group Fm-3m (No. 225)
Symmetry-distinct sites (fractional):
Zr: 0.2500 0.2500 0.2500 [8 per cell]  4 Ni 2.46
Ni: 0.0000 0.0000 0.0000 [4 per cell]  12 Ni 2.51, 6 B 2.81
Ni: 0.0000 0.1696 0.1696 [48 per cell]  2 B 2.05
Ni: 0.1141 0.1141 0.3859 [32 per cell]  3 B 2.09
B: 0.0000 0.0000 0.2684 [24 per cell]  8 Ni 2.05-2.09

E, eV per atom: -6.9614

=====

First-principles (GGA-PBEsol) data for a geometry-optimized NpB4 structure, as listed in the Alexandria database.

Cell: 7.0006 7.0006 3.9329 Å, 90.00 90.00 90.00°
Last column: nearest neighbours and their distance in Å.
Space group P4/mbm (No. 127)
Symmetry-distinct sites (fractional):
Np: 0.1895 0.3105 0.0000 [4 per cell]  18 B 2.67-2.96
B: 0.0000 0.0000 0.2006 [4 per cell]  5 B 1.58-1.74
B: 0.0390 0.8212 0.5000 [8 per cell]  5 B 1.67-1.81
B: 0.0867 0.5867 0.5000 [4 per cell]  3 B 1.67-1.72

E, eV per atom: -8.7605

=====

First-principles (GGA-PBEsol) data for a geometry-optimized BOsO2 structure, as listed in the Alexandria database.

Cell: 2.6932 2.6932 19.5463 Å, 90.00 90.00 120.00°
Last column: nearest neighbours and their distance in Å.
Space group R-3m (No. 166, hexagonal axes)
Symmetry-distinct sites (fractional):
B: 0.0000 0.0000 0.0000 [3 per cell]  2 O 1.28
Os: 0.0000 0.0000 0.5000 [3 per cell]  6 O 2.52, 6 Os 2.69
O: 0.0000 0.0000 0.0653 [6 per cell]  1 B 1.28

E, eV per atom: -7.6071
Formation energy (no corrections), kJ/mol of formula units: -67

=====

First-principles (GGA-PBEsol) data for a geometry-optimized BP2OsO structure, as listed in the Alexandria database.

Cell: 4.6597 4.6597 3.6201 Å, 90.00 90.00 90.00°
Last column: nearest neighbours and their distance in Å.
Space group P4/mmm (No. 123)
Symmetry-distinct sites (fractional):
B: 0.0000 0.0000 0.0000 [1 per cell]  8 P 2.95, 4 O 3.29
P: 0.0000 0.5000 0.5000 [2 per cell]  2 Os 2.33
Os: 0.5000 0.5000 0.5000 [1 per cell]  2 O 1.81
O: 0.5000 0.5000 0.0000 [1 per cell]  2 Os 1.81

E, eV per atom: -6.2579
Formation energy (no corrections), kJ/mol of formula units: 461

=====

First-principles (GGA-PBEsol) data for a geometry-optimized BPO3 structure, as listed in the Alexandria database.

Cell: 3.3183 3.3183 3.3183 Å, 90.00 90.00 90.00°
Last column: nearest neighbours and their distance in Å.
Space group Pm-3m (No. 221)
Symmetry-distinct sites (fractional):
B: 0.0000 0.0000 0.0000 [1 per cell]  6 O 1.66
P: 0.5000 0.5000 0.5000 [1 per cell]  12 O 2.35
O: 0.0000 0.0000 0.5000 [3 per cell]  2 B 1.66

E, eV per atom: -6.2377
Formation energy (no corrections), kJ/mol of formula units: -254

=====

First-principles (GGA-PBEsol) data for a geometry-optimized B3PO structure, as listed in the Alexandria database.

Cell: 3.5124 3.5124 3.5124 Å, 90.00 90.00 90.00°
Last column: nearest neighbours and their distance in Å.
Space group Pm-3m (No. 221)
Symmetry-distinct sites (fractional):
B: 0.0000 0.0000 0.5000 [3 per cell]  2 O 1.76
P: 0.5000 0.5000 0.5000 [1 per cell]  12 B 2.48
O: 0.0000 0.0000 0.0000 [1 per cell]  6 B 1.76

E, eV per atom: -4.8162
Formation energy (no corrections), kJ/mol of formula units: 773

=====

First-principles (GGA-PBEsol) data for a geometry-optimized SiBP2O structure, as listed in the Alexandria database.

Cell: 4.7192 4.7192 2.7474 Å, 90.00 90.00 90.00°
Last column: nearest neighbours and their distance in Å.
Space group P4/mmm (No. 123)
Symmetry-distinct sites (fractional):
Si: 0.0000 0.0000 0.0000 [1 per cell]  8 P 2.73, 2 Si 2.75
B: 0.5000 0.5000 0.5000 [1 per cell]  2 O 1.37
P: 0.0000 0.5000 0.5000 [2 per cell]  2 B 2.36
O: 0.5000 0.5000 0.0000 [1 per cell]  2 B 1.37

E, eV per atom: -5.7973
Formation energy (no corrections), kJ/mol of formula units: 59

=====

First-principles (GGA-PBEsol) data for a geometry-optimized Sr6BP5O20 structure, as listed in the Alexandria database.

Cell: 9.7525 9.7525 19.0082 Å, 90.00 90.00 90.00°
Last column: nearest neighbours and their distance in Å.
Space group I-4c2 (No. 120)
Symmetry-distinct sites (fractional):
Sr: 0.0075 0.1992 0.3352 [16 per cell]  5 O 2.42-2.62
Sr: 0.2207 0.2793 0.5000 [8 per cell]  6 O 2.43-2.71
B: 0.0000 0.5000 0.2500 [4 per cell]  4 O 1.46
P: 0.0000 0.0000 0.0000 [4 per cell]  4 O 1.56
P: 0.0228 0.2942 0.1512 [16 per cell]  4 O 1.52-1.62
O: 0.0118 0.1636 0.6942 [16 per cell]  1 P 1.55
O: 0.0308 0.1306 0.9557 [16 per cell]  1 P 1.56
O: 0.0797 0.4015 0.2092 [16 per cell]  1 B 1.46, 1 P 1.62
O: 0.0986 0.3577 0.6133 [16 per cell]  1 P 1.52
O: 0.1498 0.2694 0.1065 [16 per cell]  1 P 1.52

E, eV per atom: -7.5918
Formation energy (no corrections), kJ/mol of formula units: -8774

=====

First-principles (GGA-PBEsol) data for a geometry-optimized TlBPO2 structure, as listed in the Alexandria database.

Cell: 3.5355 3.5355 4.5463 Å, 90.00 90.00 90.00°
Last column: nearest neighbours and their distance in Å.
Space group P4/mmm (No. 123)
Symmetry-distinct sites (fractional):
Tl: 0.0000 0.0000 0.0000 [1 per cell]  4 P 2.50
B: 0.5000 0.5000 0.5000 [1 per cell]  4 O 1.77
P: 0.5000 0.5000 0.0000 [1 per cell]  2 B 2.27, 4 Tl 2.50
O: 0.0000 0.5000 0.5000 [2 per cell]  2 B 1.77

E, eV per atom: -5.0572
Formation energy (no corrections), kJ/mol of formula units: 63

=====

First-principles (GGA-PBEsol) data for a geometry-optimized BPWO2 structure, as listed in the Alexandria database.

Cell: 3.7337 3.7337 5.0277 Å, 90.00 90.00 90.00°
Last column: nearest neighbours and their distance in Å.
Space group P4/mmm (No. 123)
Symmetry-distinct sites (fractional):
B: 0.0000 0.0000 0.0000 [1 per cell]  4 P 2.64
P: 0.5000 0.5000 0.0000 [1 per cell]  2 W 2.51, 4 B 2.64
W: 0.5000 0.5000 0.5000 [1 per cell]  4 O 1.87
O: 0.0000 0.5000 0.5000 [2 per cell]  2 W 1.87

E, eV per atom: -7.6842
Formation energy (no corrections), kJ/mol of formula units: -126

=====

First-principles (GGA-PBEsol) data for a geometry-optimized B2Pb4O7 structure, as listed in the Alexandria database.

Cell: 15.2491 10.9103 10.0384 Å, 90.00 90.00 90.00°
Last column: nearest neighbours and their distance in Å.
Space group Aea2 (No. 41)
Symmetry-distinct sites (fractional):
B: 0.0086 0.1132 0.0000 [8 per cell]  3 O 1.37-1.41
B: 0.2450 0.3771 0.5010 [8 per cell]  3 O 1.39
Pb: 0.0828 0.1232 0.5428 [8 per cell]  3 O 2.22-2.28
Pb: 0.1175 0.4513 0.7419 [8 per cell]  3 O 2.30-2.50
Pb: 0.1227 0.3029 0.2353 [8 per cell]  5 O 2.30-2.54
Pb: 0.1967 0.1258 0.9069 [8 per cell]  3 O 2.26-2.33
O: 0.0000 0.0000 0.4202 [4 per cell]  2 Pb 2.22
O: 0.0000 0.0000 0.9341 [4 per cell]  2 B 1.41
O: 0.0290 0.2881 0.4385 [8 per cell]  1 B 1.37
O: 0.0549 0.1206 0.1165 [8 per cell]  1 B 1.37
O: 0.1604 0.1275 0.3489 [8 per cell]  4 Pb 2.26-2.30
O: 0.2341 0.4862 0.5705 [8 per cell]  1 B 1.39
O: 0.2396 0.2677 0.0674 [8 per cell]  1 B 1.39
O: 0.2425 0.3804 0.3629 [8 per cell]  1 B 1.39

E, eV per atom: -6.7847
Formation energy (no corrections), kJ/mol of formula units: -2068

=====

First-principles (GGA-PBEsol) data for a geometry-optimized B10Pb6O21 structure, as listed in the Alexandria database.

Cell: 6.8245 7.0014 11.0932 Å, 82.77 78.87 60.84°
Last column: nearest neighbours and their distance in Å.
Space group P-1 (No. 2)
Symmetry-distinct sites (fractional):
B: 0.0229 0.1757 0.0723 [2 per cell]  3 O 1.35-1.41
B: 0.0552 0.9355 0.7033 [2 per cell]  4 O 1.45-1.51
B: 0.2259 0.6717 0.2574 [2 per cell]  3 O 1.37-1.40
B: 0.2819 0.6310 0.5555 [2 per cell]  3 O 1.37-1.38
B: 0.3346 0.9641 0.2023 [2 per cell]  4 O 1.44-1.52
Pb: 0.1528 0.3636 0.8006 [2 per cell]  3 O 2.31-2.53
Pb: 0.2624 0.2339 0.4357 [2 per cell]  4 O 2.31-2.48
Pb: 0.4674 0.7402 0.9134 [2 per cell]  3 O 2.26-2.42
O: 0.0028 0.8272 0.3009 [2 per cell]  2 B 1.40-1.51
O: 0.0623 0.7120 0.0296 [2 per cell]  1 B 1.35
O: 0.1265 0.5600 0.5582 [2 per cell]  1 B 1.37
O: 0.1306 0.8352 0.8260 [2 per cell]  2 B 1.41-1.51
O: 0.1502 0.0743 0.3012 [2 per cell]  2 B 1.45-1.46
O: 0.2388 0.8204 0.6063 [2 per cell]  2 B 1.38-1.45
O: 0.2535 0.0740 0.0813 [2 per cell]  2 B 1.39-1.52
O: 0.2702 0.4583 0.2606 [2 per cell]  1 B 1.37
O: 0.3898 0.7300 0.2049 [2 per cell]  2 B 1.37-1.49
O: 0.4661 0.0205 0.7870 [2 per cell]  1 B 1.44
O: 0.5000 0.5000 0.5000 [1 per cell]  2 B 1.38

E, eV per atom: -7.5932
Formation energy (no corrections), kJ/mol of formula units: -7387

=====

First-principles (GGA-PBEsol) data for a geometry-optimized B2Pb6SO12 structure, as listed in the Alexandria database.

Cell: 6.4006 11.7114 17.9334 Å, 90.00 90.00 90.00°
Last column: nearest neighbours and their distance in Å.
Space group Pnma (No. 62)
Symmetry-distinct sites (fractional):
B: 0.0773 0.0052 0.2461 [8 per cell]  3 O 1.38-1.39
Pb: 0.1009 0.7500 0.8012 [4 per cell]  3 O 2.29-2.47
Pb: 0.1423 0.5912 0.6019 [8 per cell]  3 O 2.17-2.38
Pb: 0.1745 0.0944 0.8955 [8 per cell]  3 O 2.20-2.38
Pb: 0.2185 0.2500 0.7088 [4 per cell]  4 O 2.43-2.47
S: 0.2101 0.2500 0.5095 [4 per cell]  4 O 1.48-1.52
O: 0.0112 0.2500 0.5532 [4 per cell]  1 S 1.50
O: 0.0286 0.1030 0.2861 [8 per cell]  1 B 1.39
O: 0.0709 0.0111 0.1686 [8 per cell]  1 B 1.39
O: 0.0761 0.2500 0.8368 [4 per cell]  3 Pb 2.20-2.43
O: 0.1315 0.5944 0.2821 [8 per cell]  1 B 1.38
O: 0.1510 0.2500 0.4276 [4 per cell]  1 S 1.52
O: 0.1677 0.6452 0.0253 [8 per cell]  1 S 1.48
O: 0.2104 0.2500 0.1363 [4 per cell]  3 Pb 2.17-2.29

E, eV per atom: -6.5835
Formation energy (no corrections), kJ/mol of formula units: -3170

=====

First-principles (GGA-PBEsol) data for a geometry-optimized BTePb2O structure, as listed in the Alexandria database.

Cell: 4.9946 4.9946 4.5127 Å, 90.00 90.00 90.00°
Last column: nearest neighbours and their distance in Å.
Space group P4/mmm (No. 123)
Symmetry-distinct sites (fractional):
B: 0.0000 0.0000 0.0000 [1 per cell]  8 Pb 3.37, 4 Te 3.53
Te: 0.5000 0.5000 0.0000 [1 per cell]  2 O 2.26
Pb: 0.0000 0.5000 0.5000 [2 per cell]  2 O 2.50
O: 0.5000 0.5000 0.5000 [1 per cell]  2 Te 2.26, 4 Pb 2.50

E, eV per atom: -4.1404
Formation energy (no corrections), kJ/mol of formula units: 298